## NaCo2O4 (GGA+U)

Data for NaCo2O4 after structural relaxation.

Computed properties:
Its space group is P-6m2. The calculation puts the calculated volume at 75 Å³/f.u. Its total energy is -5.45 eV per atom.

a = 2.8687 Å, b = 2.8687 Å, c = 10.4895 Å
α = 90.00°, β = 90.00°, γ = 120.00°
With the nearest neighbours (Å) after each atom.
Fractional coordinates of all 7 atoms:
Na: 0.0000 0.0000 0.0000  6 O 2.34
Co: 0.6667 0.3333 0.2567  6 O 1.87-1.96
Co: 0.6667 0.3333 0.7433  6 O 1.87-1.96
O: 0.0000 0.0000 0.3397  3 Co 1.87
O: 0.0000 0.0000 0.6603  3 Co 1.87
O: 0.3333 0.6667 0.1570  3 Co 1.96
O: 0.3333 0.6667 0.8430  3 Co 1.96